Here is a relaxed structure of Hf5ZrH8 from the Alexandria database. Energies are from PBE.

a b c (Å): 5.911 5.911 5.911
angles (deg): 104.16 104.16 120.70
Sites, in units of the cell vectors:
Hf1 0.000 0.000 0.000
Hf2 0.126 0.227 0.602
Hf3 0.476 0.874 0.101
Hf4 0.625 0.524 0.398
Hf5 0.773 0.375 0.899
Zr1 0.250 0.750 0.500
H1 0.290 0.537 0.197
H2 0.340 0.094 0.803
H3 0.342 0.094 0.292
H4 0.463 0.660 0.753
H5 0.803 0.050 0.708
H6 0.906 0.197 0.248
H7 0.906 0.710 0.247
H8 0.950 0.658 0.752

For the density, the calculation gives 10.67 Mg/m³. Its symmetry is I-4 (82). Its density of states at the Fermi level is 8.7 states/eV/f.u. The value obtained for the calculated total energy is -6.19 eV/atom.

Here is a relaxed structure of Sr2CaYH from the Alexandria database. Energies are from PBE.

a b c (Å): 6.195 6.195 4.432
angles (deg): 90.00 90.00 90.00
Sites, in units of the cell vectors:
Sr1 0.000 0.500 0.000
Sr2 0.500 0.000 0.000
Ca1 0.000 0.000 0.500
Y1 0.500 0.500 0.500
H1 0.500 0.500 0.000

For the density, the calculation gives 2.98 Mg/m³. Its symmetry is P4/mmm (123). Its density of states at the Fermi level is 3.9 states/eV/f.u. The value obtained for the calculated total energy is -3.07 eV/atom.

Here is a relaxed structure of Er4PPbS2 from the Alexandria database. Energies are from PBE.

a b c (Å): 7.005 3.966 7.114
angles (deg): 90.00 109.13 90.00
Sites, in units of the cell vectors:
Er1 0.234 0.000 0.226
Er2 0.250 0.500 0.764
Er3 0.750 0.500 0.236
Er4 0.766 0.000 0.774
P1 0.500 0.000 0.000
Pb1 0.500 0.500 0.500
S1 0.000 0.000 0.500
S2 0.000 0.500 0.000

For the density, the calculation gives 8.64 Mg/m³. Its symmetry is P2/m (10). Its density of states at the Fermi level is 2.5 states/eV/f.u. Its formation energy from raw total energies is -1.441 eV/atom.

Here is a relaxed structure of LiSBr3 from the Alexandria database. Energies are from PBE.

a b c (Å): 5.236 5.236 5.236
angles (deg): 90.00 90.00 90.00
Sites, in units of the cell vectors:
Li1 0.000 0.000 0.000
S1 0.500 0.500 0.500
Br1 0.000 0.500 0.500
Br2 0.500 0.000 0.500
Br3 0.500 0.500 0.000

For the density, the calculation gives 3.22 Mg/m³. Its symmetry is Pm-3m (221). Its density of states at the Fermi level is 0.9 states/eV/f.u. The energy above the lowest structure with this stoichiometry comes out at 0 meV/atom. Its formation energy from raw total energies is -0.267 eV/atom.

Here is a relaxed structure of ZrOs2Rh from the Alexandria database. Energies are from PBE.

a b c (Å): 2.850 2.850 7.870
angles (deg): 90.00 90.00 90.00
Sites, in units of the cell vectors:
Zr1 0.000 0.000 0.000
Os1 0.000 0.000 0.495
Os2 0.500 0.500 0.280
Rh1 0.500 0.500 0.734

The formation energy comes out at -0.107 eV/atom. For the density, the calculation gives 14.92 Mg/m³. Its symmetry is P4mm (99). Its density of states at the Fermi level is 2.4 states/eV/f.u. The energy above the lowest structure with this stoichiometry comes out at 105 meV/atom.

Here is a relaxed structure of GePdRu3 from the Alexandria database. Energies are from PBE.

a b c (Å): 4.747 4.747 4.747
angles (deg): 90.00 90.00 90.00
Sites, in units of the cell vectors:
Ge1 0.000 0.000 0.000
Pd1 0.500 0.500 0.500
Ru1 0.000 0.500 0.500
Ru2 0.500 0.000 0.500
Ru3 0.500 0.500 0.000

The formation energy comes out at 1.968 eV/atom. For the density, the calculation gives 7.49 Mg/m³. Its symmetry is Pm-3m (221). Its density of states at the Fermi level is 6.9 states/eV/f.u. The energy above the lowest structure with this stoichiometry comes out at 724 meV/atom.